A relaxed structure of CaVBr2N, computed with GGA-PBE.

- Symmetry: No. 123
- Energy relative to the elements, uncorrected: 0.37 eV per atom

Cell and atoms, written as extended XYZ:
```
5
Lattice="5.594 0.000 0.000 0.000 5.594 0.000 0.000 0.000 4.551" Properties=species:S:1:pos:R:3 pbc="T T T"
Ca 0.000 0.000 0.000
V 2.797 2.797 2.276
Br 0.000 2.797 0.000
Br 2.797 0.000 0.000
N 0.000 0.000 2.276
```